GGA-PBE CaTl8Pb2, optimized geometry; ρ = 9.076 g cm⁻³; ΔE to the lowest computed polymorph = 0.114 eV/atom; DOS at the Fermi energy = 0.4473 states/eV/atom; space group = No. 12
1.0
-3.323 4.267 -1.828
-7.527 -2.998 2.111
-1.378 3.984 7.234
Tl Ca Pb
8 1 2
Direct
0.310 0.406 0.406
0.207 0.810 0.345
0.793 0.655 0.190
0.793 0.190 0.655
0.207 0.345 0.810
0.690 0.594 0.594
0.119 0.735 0.735
0.881 0.265 0.265
0.000 0.000 0.000
0.555 0.867 0.867
0.445 0.133 0.133

***

GGA-PBE Ca2Tl4Pb, optimized geometry; ρ = 8.535 g cm⁻³; ΔE to the lowest computed polymorph = 0.000 eV/atom; DOS at the Fermi energy = 0.5884 states/eV/atom; space group = No. 11
1.0
-3.996 4.762 -0.513
-3.793 -3.871 -6.396
-3.199 -1.771 8.480
Pb Tl Ca
2 8 4
Direct
0.250 0.994 0.244
0.750 0.006 0.756
0.498 0.382 0.791
0.002 0.382 0.791
0.502 0.618 0.209
0.750 0.572 0.555
0.750 0.247 0.168
0.250 0.428 0.445
0.998 0.618 0.209
0.250 0.753 0.832
0.750 0.800 0.988
0.250 0.914 0.567
0.250 0.200 0.012
0.750 0.086 0.433

***

GGA-PBE CaTl8Pb2, optimized geometry; ρ = 10.436 g cm⁻³; ΔE to the lowest computed polymorph = 0.000 eV/atom; DOS at the Fermi energy = 0.4250 states/eV/atom; space group = No. 12
1.0
4.448 0.000 -1.265
-0.464 7.983 -1.632
0.273 -0.564 9.411
Tl Pb Ca
8 2 1
Direct
0.681 0.907 0.362
0.047 0.721 0.095
0.410 0.551 0.820
0.590 0.449 0.180
0.138 0.181 0.276
0.862 0.819 0.724
0.953 0.279 0.905
0.319 0.093 0.638
0.773 0.366 0.546
0.227 0.634 0.454
0.500 0.000 0.000

***

GGA-PBE Ca2Tl8Pb3, optimized geometry; ρ = 9.109 g cm⁻³; DFT total energy = -2.63 eV per atom; DOS at the Fermi energy = 0.5153 states/eV/atom; space group = No. 166
1.0
6.404 0.000 0.000
3.202 5.546 0.000
3.202 1.849 11.994
Tl Pb Ca
8 3 2
Direct
0.731 0.731 0.311
0.774 0.269 0.689
0.731 0.226 0.311
0.269 0.269 0.689
0.274 0.274 0.179
0.726 0.726 0.821
0.269 0.774 0.689
0.226 0.731 0.311
0.000 0.000 0.000
0.818 0.818 0.547
0.182 0.182 0.453
0.639 0.639 0.082
0.361 0.361 0.918

***

GGA-PBE CaTlPb, optimized geometry; ρ = 8.289 g cm⁻³; ΔE to the lowest computed polymorph = 0.000 eV/atom; DOS at the Fermi energy = 0.4743 states/eV/atom; space group = No. 11
1.0
-0.781 -4.295 2.113
4.547 -0.233 1.209
-3.922 3.776 6.224
Pb Ca Tl
2 2 2
Direct
0.750 0.424 0.847
0.250 0.576 0.153
0.750 0.093 0.185
0.250 0.907 0.815
0.250 0.246 0.492
0.750 0.754 0.508

***

GGA-PBE CaTl5Pb4, optimized geometry; ρ = 9.718 g cm⁻³; DFT total energy = -2.83 eV per atom; DOS at the Fermi energy = 0.6822 states/eV/atom; space group = No. 79
1.0
6.648 0.000 0.000
3.324 6.971 0.000
3.324 0.000 6.971
Tl Pb Ca
5 4 1
Direct
0.882 0.387 0.754
0.023 0.613 0.246
0.709 0.000 0.000
0.636 0.246 0.387
0.268 0.754 0.613
0.193 0.155 0.366
0.348 0.366 0.845
0.714 0.845 0.634
0.559 0.634 0.155
0.177 0.000 0.000

***

GGA-PBE CaTlPb2, optimized geometry; ρ = 8.441 g cm⁻³; DFT total energy = -3.08 eV per atom; DOS at the Fermi energy = 0.3229 states/eV/atom; space group = No. 166
1.0
10.970 0.018 0.011
10.330 3.693 0.011
10.330 1.800 3.225
Pb Tl Ca
2 1 1
Direct
0.000 0.000 0.000
0.500 0.500 0.500
0.250 0.250 0.250
0.750 0.750 0.750

***

GGA-PBE CaTlPb, optimized geometry; ρ = 8.107 g cm⁻³; ΔE to the lowest computed polymorph = 0.036 eV/atom; DOS at the Fermi energy = 0.3092 states/eV/atom; space group = No. 44
1.0
5.961 0.048 -0.023
2.825 5.250 0.023
-4.052 -3.215 2.964
Pb Tl Ca
1 1 1
Direct
0.330 0.330 0.000
0.671 0.671 0.000
0.999 0.999 0.000